CeDy6Er3Sc2: relaxed, PBE.

```
CeDy6Er3Sc2
1.0
3.019 -5.226 0.000
3.019 5.226 0.000
-2.012 0.000 11.388
Ce Dy Er Sc
1 6 3 2
Cartesian
0.000 0.000 0.000
1.008 1.743 2.804
0.002 0.000 8.583
1.008 -1.743 2.804
3.017 1.743 8.584
4.024 0.000 2.805
3.017 -1.743 8.584
2.013 3.474 5.694
2.013 0.000 5.694
2.013 -3.474 5.694
3.019 1.742 0.000
3.019 -1.742 0.000
```

Results
Total moment in μB per cell: 1.18
Total energy in eV per cell: -59.3
Formation enthalpy at 0 K in meV per atom: 53.2

=====

CeDy3Er6Sc2: relaxed, PBE.

```
CeDy3Er6Sc2
1.0
3.009 -5.210 0.000
3.009 5.210 0.000
-2.003 0.000 11.369
Ce Dy Er Sc
1 3 6 2
Cartesian
0.000 0.000 0.000
2.008 3.462 5.685
2.008 0.000 5.685
2.008 -3.462 5.685
1.007 1.735 2.789
0.000 0.000 8.578
1.007 -1.735 2.789
3.008 1.735 8.580
4.016 0.000 2.791
3.008 -1.735 8.580
3.009 1.737 0.000
3.009 -1.737 0.000
```

Results
Total moment in μB per cell: 1.00
Total energy in eV per cell: -59.2
Formation enthalpy at 0 K in meV per atom: 51.5

=====

CeDyErSc: relaxed, PBE.

```
CeDyErSc
1.0
0.000 3.892 3.892
3.892 0.000 3.892
3.892 3.892 0.000
Ce Dy Er Sc
1 1 1 1
Cartesian
0.000 0.000 0.000
3.892 3.892 3.892
5.838 5.838 5.838
1.946 1.946 1.946
```

Results
Total moment in μB per cell: 0.59
Total energy in eV per cell: -20.9
Formation enthalpy at 0 K in meV per atom: 134.1

=====

CeDy2ErSc4: relaxed, PBE.

```
CeDy2ErSc4
1.0
4.898 0.000 0.000
0.000 4.898 0.000
0.000 0.000 9.173
Ce Dy Er Sc
1 2 1 4
Cartesian
0.000 0.000 0.000
0.000 0.000 4.587
2.449 2.449 0.000
2.449 2.449 4.587
0.000 2.449 2.270
0.000 2.449 6.903
2.449 0.000 2.270
2.449 0.000 6.903
```

Results
Total moment in μB per cell: 0.41
Total energy in eV per cell: -44.5
Formation enthalpy at 0 K in meV per atom: 62.0

=====

CeDy2ErSc: relaxed, PBE.

```
CeDy2ErSc
1.0
5.762 0.000 0.000
0.000 7.627 0.000
0.000 0.000 6.852
Ce Dy Er Sc
2 4 2 2
Cartesian
0.000 0.000 0.000
2.881 0.000 0.000
1.441 2.221 2.228
1.441 5.405 2.228
4.322 2.221 4.625
4.322 5.405 4.625
1.441 3.813 5.750
4.322 3.813 1.102
1.441 0.000 4.151
4.322 0.000 2.701
```

Results
Total moment in μB per cell: 2.65
Total energy in eV per cell: -49.4
Formation enthalpy at 0 K in meV per atom: 262.5

=====

Ce2Dy3Er6Sc: relaxed, PBE.

```
Ce2Dy3Er6Sc
1.0
3.024 -5.237 0.000
3.024 5.237 0.000
-2.015 0.000 11.402
Ce Dy Er Sc
2 3 6 1
Cartesian
3.024 3.495 0.000
3.024 -3.495 0.000
-1.007 0.000 5.701
2.016 1.737 5.701
2.016 -1.737 5.701
0.002 1.742 8.589
1.012 0.000 2.815
0.002 -1.742 8.589
4.030 1.742 2.812
3.021 0.000 8.586
4.030 -1.742 2.812
3.024 0.000 0.000
```

Results
Total moment in μB per cell: 1.69
Total energy in eV per cell: -58.8
Formation enthalpy at 0 K in meV per atom: 49.6

=====

CeDy2ErSe6: relaxed, PBE.

```
CeDy2ErSe6
1.0
3.636 2.099 6.503
-3.636 2.099 6.503
0.000 -4.198 6.503
Ce Dy Er Se
1 2 1 6
Cartesian
0.000 0.000 0.000
0.000 0.000 5.810
0.000 0.000 15.634
0.000 0.000 9.656
-2.159 -0.114 7.750
-1.392 -2.094 10.983
1.178 -1.813 7.750
-1.117 2.252 10.983
0.981 1.926 7.750
2.509 -0.158 10.983
```

Results
Total moment in μB per cell: 1.00
Total energy in eV per cell: -58.8
E_form (uncorrected) in kJ/mol of formula units: -1755

=====

Ce3Dy2ErSe6: relaxed, PBE.

```
Ce3Dy2ErSe6
1.0
3.549 -6.154 0.000
3.549 6.154 0.000
-2.370 0.000 6.859
Ce Dy Er Se
3 2 1 6
Cartesian
0.000 0.000 0.000
3.549 2.064 0.000
3.549 -2.064 0.000
2.364 4.104 3.429
2.364 -4.104 3.429
2.364 0.000 3.429
1.190 2.038 1.808
0.013 0.000 5.058
1.190 -2.038 1.808
3.538 2.038 5.050
4.715 0.000 1.801
3.538 -2.038 5.050
```

Results
Total moment in μB per cell: 2.99
Total energy in eV per cell: -74.0
E_form (uncorrected) in kJ/mol of formula units: -2073

=====

CeDy3Er2Se6: relaxed, PBE.

```
CeDy3Er2Se6
1.0
8.896 -2.032 0.000
8.896 2.032 0.000
-1.874 0.000 8.000
Ce Dy Er Se
1 3 2 6
Cartesian
0.000 0.000 0.000
-0.937 0.000 4.000
5.685 0.000 1.327
10.233 0.000 6.673
4.717 0.000 5.373
11.201 0.000 2.626
1.917 0.000 4.648
2.883 0.000 0.703
7.480 0.000 5.928
8.438 0.000 2.072
13.035 0.000 7.297
14.001 0.000 3.352
```

Results
Total moment in μB per cell: 1.09
Total energy in eV per cell: -70.7
E_form (uncorrected) in kJ/mol of formula units: -2021

=====

CeDyEr2Se4: relaxed, PBE.

```
CeDyEr2Se4
1.0
7.076 0.000 0.000
0.000 4.048 0.000
-2.316 0.000 6.743
Ce Dy Er Se
1 1 2 4
Cartesian
0.000 0.000 0.000
3.538 2.024 0.000
-1.158 2.024 3.371
2.380 0.000 3.371
0.064 0.000 5.007
1.225 2.024 1.761
3.534 2.024 4.981
4.695 0.000 1.735
```

Results
Total moment in μB per cell: 0.99
Total energy in eV per cell: -47.6
E_form (uncorrected) in kJ/mol of formula units: -1347

=====

Ce3DyEr2Se6: relaxed, PBE.

```
Ce3DyEr2Se6
1.0
3.539 -6.137 0.000
3.539 6.137 0.000
-2.363 0.000 6.862
Ce Dy Er Se
3 1 2 6
Cartesian
0.000 0.000 0.000
3.539 2.033 0.000
3.539 -2.033 0.000
2.358 0.000 3.431
2.358 4.090 3.431
2.358 -4.090 3.431
1.171 2.059 1.812
-0.019 0.000 5.042
1.171 -2.059 1.812
3.545 2.059 5.049
4.734 0.000 1.820
3.545 -2.059 5.049
```

Results
Total moment in μB per cell: 3.00
Total energy in eV per cell: -73.8
E_form (uncorrected) in kJ/mol of formula units: -2064

=====

CeDy4Er3Se8: relaxed, PBE.

```
CeDy4Er3Se8
1.0
4.077 2.354 6.650
-4.077 2.354 6.650
0.000 -4.708 6.650
Ce Dy Er Se
1 4 3 8
Cartesian
0.000 0.000 0.000
-4.077 0.000 9.975
-2.039 1.177 3.325
2.039 1.177 3.325
0.000 0.000 9.975
-2.039 -1.177 6.650
-2.039 1.177 13.300
0.000 2.354 6.650
0.000 0.000 5.013
0.000 -2.313 8.316
-2.003 1.156 8.316
-2.003 -1.156 11.634
2.003 1.156 8.316
2.003 -1.156 11.634
0.000 2.313 11.634
0.000 0.000 14.937
```

Results
Total moment in μB per cell: 0.58
Total energy in eV per cell: -93.7
E_form (uncorrected) in kJ/mol of formula units: -2680